[1]
A plane-wave DFT calculation with GGA-PBE was carried out for an optimized crystal structure of SnPb3Br.

Cell lengths 5.944, 5.944, 5.944 Å; angles 90.00, 90.00, 90.00 degrees
Space group Pm-3m (No. 221)
Symmetry-distinct sites (fractional):
Sn 0.000 0.000 0.000 [1 per cell]
Pb 0.000 0.000 0.500 [3 per cell]
Br 0.500 0.500 0.500 [1 per cell]

Output
As for the total energy: -3.02 eV/atom. Its uncorrected formation energy is 0.337 eV per atom.

***

[2]
A plane-wave DFT calculation with GGA-PBE was carried out for an optimized crystal structure of NaErSn6.

Cell lengths 4.682, 4.682, 9.549 Å; angles 90.00, 90.00, 90.00 degrees
Space group P4/mmm (No. 123)
Symmetry-distinct sites (fractional):
Na 0.000 0.000 0.000 [1 per cell]
Er 0.000 0.000 0.500 [1 per cell]
Sn 0.000 0.500 0.250 [4 per cell]
Sn 0.500 0.500 0.000 [1 per cell]
Sn 0.500 0.500 0.500 [1 per cell]

Output
The formation energy from the elements is -0.254 eV per atom. As for the total energy: -3.99 eV/atom.

***

[3]
A plane-wave DFT calculation with GGA-PBE was carried out for an optimized crystal structure of V2HgAu2.

Cell lengths 3.466, 3.466, 14.957 Å; angles 90.00, 90.00, 90.00 degrees
Space group I4/mmm (No. 139)
Symmetry-distinct sites (fractional):
V 0.000 0.500 0.250 [4 per cell]
Hg 0.000 0.000 0.000 [2 per cell]
Au 0.000 0.000 0.392 [4 per cell]

Output
The formation energy from the elements is 0.262 eV per atom. As for the total energy: -4.76 eV/atom.

***

[4]
A plane-wave DFT calculation with GGA-PBE was carried out for an optimized crystal structure of TbSm4Y2Ho2.

Cell lengths 15.219, 5.065, 8.019 Å; angles 90.00, 108.42, 90.00 degrees
Space group C2/m (No. 12)
Symmetry-distinct sites (fractional):
Tb 0.000 0.000 0.000 [2 per cell]
Sm 0.055 0.500 0.331 [4 per cell]
Sm 0.222 0.000 0.332 [4 per cell]
Y 0.112 0.000 0.668 [4 per cell]
Ho 0.167 0.500 0.000 [4 per cell]

Output
The formation energy from the elements is 0.018 eV per atom. As for the total energy: -5.05 eV/atom.

***

[5]
A plane-wave DFT calculation with GGA-PBE was carried out for an optimized crystal structure of Ce2SmNbN4.

Cell lengths 5.971, 3.429, 5.977 Å; angles 90.00, 109.14, 90.00 degrees
Space group P2/m (No. 10)
Symmetry-distinct sites (fractional):
Ce 0.000 0.000 0.000 [1 per cell]
Ce 0.500 0.500 0.000 [1 per cell]
Sm 0.000 0.500 0.500 [1 per cell]
Nb 0.500 0.000 0.500 [1 per cell]
N 0.272 0.000 0.737 [2 per cell]
N 0.276 0.500 0.272 [2 per cell]

Output
As for the total energy: -8.86 eV/atom. Its uncorrected formation energy is -1.367 eV per atom.

***

[6]
A plane-wave DFT calculation with GGA-PBE was carried out for an optimized crystal structure of Sr3Li3Mg.

Cell lengths 12.732, 5.035, 16.729 Å; angles 90.00, 110.18, 90.00 degrees
Space group C2/m (No. 12)
Symmetry-distinct sites (fractional):
Sr 0.026 0.000 0.380 [4 per cell]
Sr 0.109 0.000 0.922 [4 per cell]
Sr 0.250 0.000 0.234 [4 per cell]
Li 0.049 0.500 0.236 [4 per cell]
Li 0.101 0.500 0.078 [4 per cell]
Li 0.126 0.500 0.540 [4 per cell]
Mg 0.245 0.500 0.411 [4 per cell]

Output
The formation energy from the elements is 0.005 eV per atom. As for the total energy: -1.76 eV/atom.

***

[7]
A plane-wave DFT calculation with GGA-PBE was carried out for an optimized crystal structure of Sr2ErAlS5.

Cell lengths 3.940, 17.681, 12.459 Å; angles 90.00, 90.00, 90.00 degrees
Space group Cmc2_1 (No. 36)
Symmetry-distinct sites (fractional):
Sr 0.000 0.116 0.000 [4 per cell]
Sr 0.000 0.126 0.644 [4 per cell]
Er 0.000 0.208 0.347 [4 per cell]
Al 0.000 0.442 0.749 [4 per cell]
S 0.000 0.045 0.348 [4 per cell]
S 0.000 0.293 0.992 [4 per cell]
S 0.000 0.318 0.694 [4 per cell]
S 0.000 0.355 0.325 [4 per cell]
S 0.000 0.498 0.093 [4 per cell]

Output
As for the total energy: -5.45 eV/atom. Its uncorrected formation energy is -1.863 eV per atom.

***

[8]
A plane-wave DFT calculation with GGA-PBE was carried out for an optimized crystal structure of InSeS6.

Cell lengths 5.481, 6.164, 6.183 Å; angles 72.11, 89.36, 79.58 degrees
Space group P-1 (No. 2)
Symmetry-distinct sites (fractional):
In 0.000 0.000 0.000 [1 per cell]
Se 0.500 0.000 0.500 [1 per cell]
S 0.058 0.127 0.550 [2 per cell]
S 0.237 0.350 0.931 [2 per cell]
S 0.459 0.730 0.238 [2 per cell]

Output
As for the total energy: -3.76 eV/atom. Its uncorrected formation energy is 0.114 eV per atom.

***

[9]
A plane-wave DFT calculation with GGA-PBE was carried out for an optimized crystal structure of Ce2Si2Ag.

Cell lengths 7.105, 7.105, 4.387 Å; angles 90.00, 90.00, 90.00 degrees
Space group P4/mbm (No. 127)
Symmetry-distinct sites (fractional):
Ce 0.177 0.323 0.000 [4 per cell]
Si 0.119 0.619 0.500 [4 per cell]
Ag 0.000 0.000 0.500 [2 per cell]

Output
As for the total energy: -5.63 eV/atom. Its uncorrected formation energy is -0.518 eV per atom.

***

[10]
A plane-wave DFT calculation with GGA-PBE was carried out for an optimized crystal structure of SrCdCl2.

Cell lengths 4.303, 6.677, 9.647 Å; angles 90.00, 90.00, 90.00 degrees
Space group Immm (No. 71)
Symmetry-distinct sites (fractional):
Sr 0.000 0.000 0.000 [2 per cell]
Cd 0.000 0.000 0.500 [2 per cell]
Cl 0.000 0.500 0.306 [4 per cell]

Output
As for the total energy: -3.07 eV/atom. Its uncorrected formation energy is -1.493 eV per atom.

***

[11]
A plane-wave DFT calculation with GGA-PBE was carried out for an optimized crystal structure of GeAs2Au.

Cell lengths 7.569, 12.594, 8.334 Å; angles 90.00, 114.84, 90.00 degrees
Space group P2_1/c (No. 14)
Symmetry-distinct sites (fractional):
Ge 0.238 0.104 0.145 [4 per cell]
Ge 0.249 0.589 0.021 [4 per cell]
As 0.009 0.190 0.437 [4 per cell]
As 0.272 0.588 0.732 [4 per cell]
As 0.326 0.022 0.903 [4 per cell]
As 0.462 0.213 0.399 [4 per cell]
Au 0.118 0.651 0.402 [4 per cell]
Au 0.354 0.113 0.624 [4 per cell]

Output
The formation energy from the elements is 0.099 eV per atom. As for the total energy: -4.20 eV/atom.

***

[12]
A plane-wave DFT calculation with GGA-PBE was carried out for an optimized crystal structure of Ba2AgTeRh.

Cell lengths 5.870, 5.870, 5.085 Å; angles 90.00, 90.00, 90.00 degrees
Space group P4/mmm (No. 123)
Symmetry-distinct sites (fractional):
Ba 0.000 0.500 0.000 [2 per cell]
Ag 0.000 0.000 0.500 [1 per cell]
Te 0.500 0.500 0.500 [1 per cell]
Rh 0.000 0.000 0.000 [1 per cell]

Output
As for the total energy: -3.93 eV/atom. Its uncorrected formation energy is -0.489 eV per atom.